Record 1
The following is a PBE-GGA calculation of a relaxed KCd2H4 crystal, from the Alexandria database.

Crystal system: orthorhombic
Total energy (eV/cell): -61.11
Magnetization (μB per atom): 0.0000
ρ (g/cm3): 3.90

Cell and atoms, written as CIF:
```
data_KCd2H4
_chemical_formula_sum 'K4 Cd8 H16'
_symmetry_space_group_name_H-M 'C c c m'
_symmetry_Int_Tables_number 66
_symmetry_space_group_name_Hall '-C 2 2c'
_cell_length_a 5.701
_cell_length_b 8.448
_cell_length_c 9.483
_cell_angle_alpha 90.00
_cell_angle_beta 90.00
_cell_angle_gamma 90.00
loop_
_atom_site_label
_atom_site_type_symbol
_atom_site_fract_x
_atom_site_fract_y
_atom_site_fract_z
K1 K 0.000 0.000 0.250
Cd1 Cd 0.002 0.327 0.000
H1 H 0.152 0.115 0.500
H2 H 0.250 0.250 0.138
```

***

Record 2
The following is a PBE-GGA calculation of a relaxed La4Ce3ZrN8 crystal, from the Alexandria database.

Crystal system: trigonal
Formation energy without anion corrections (kcal/mol of atoms): -33.4
Magnetization (μB per atom): 0.0000
ρ (g/cm3): 7.41

Cell and atoms, written as CIF:
```
data_La4Ce3ZrN8
_chemical_formula_sum 'La12 Ce9 Zr3 N24'
_symmetry_space_group_name_H-M 'R -3 m'
_symmetry_Int_Tables_number 166
_symmetry_space_group_name_Hall '-R 3 2"'
_cell_length_a 7.1673
_cell_length_b 7.1673
_cell_length_c 17.8314
_cell_angle_alpha 90.00
_cell_angle_beta 90.00
_cell_angle_gamma 120.00
loop_
_atom_site_label
_atom_site_type_symbol
_atom_site_fract_x
_atom_site_fract_y
_atom_site_fract_z
La1 La 0.0000 0.0000 0.0000
La2 La 0.0000 0.5000 0.0000
Ce1 Ce 0.0000 0.5000 0.5000
Zr1 Zr 0.0000 0.0000 0.5000
N1 N 0.0000 0.0000 0.2413
N2 N 0.0144 0.5072 0.2395
```

***

Record 3
The following is a PBE-GGA calculation of a relaxed BaAcZn2Ga2 crystal, from the Alexandria database.

Crystal system: trigonal
Calculated formation energy (eV per formula unit): -2.34
Magnetization (μB per atom): 0.0000
ρ (g/cm3): 6.37

Cell and atoms, written as CIF:
```
data_BaAcZn2Ga2
_chemical_formula_sum 'Ba1 Ac1 Zn2 Ga2'
_symmetry_space_group_name_H-M 'P -3 m 1'
_symmetry_Int_Tables_number 164
_symmetry_space_group_name_Hall '-P 3 2"'
_cell_length_a 4.7006
_cell_length_b 4.7006
_cell_length_c 8.6468
_cell_angle_alpha 90.00
_cell_angle_beta 90.00
_cell_angle_gamma 120.00
loop_
_atom_site_label
_atom_site_type_symbol
_atom_site_fract_x
_atom_site_fract_y
_atom_site_fract_z
Ba1 Ba 0.0000 0.0000 0.0000
Ac1 Ac 0.0000 0.0000 0.5000
Zn1 Zn 0.3333 0.6667 0.2820
Ga1 Ga 0.3333 0.6667 0.7163
```

***

Record 4
The following is a PBE-GGA calculation of a relaxed CeZr2MoC4 crystal, from the Alexandria database.

Crystal system: orthorhombic
Calculated formation energy (eV per formula unit): -2.51
Magnetization (μB per atom): 0.0000
ρ (g/cm3): 6.65

Cell and atoms, written as CIF:
```
data_CeZr2MoC4
_chemical_formula_sum 'Ce4 Zr8 Mo4 C16'
_symmetry_space_group_name_H-M 'C m c m'
_symmetry_Int_Tables_number 63
_symmetry_space_group_name_Hall '-C 2c 2'
_cell_length_a 3.367
_cell_length_b 11.775
_cell_length_c 11.752
_cell_angle_alpha 90.00
_cell_angle_beta 90.00
_cell_angle_gamma 90.00
loop_
_atom_site_label
_atom_site_type_symbol
_atom_site_fract_x
_atom_site_fract_y
_atom_site_fract_z
Ce1 Ce 0.000 0.106 0.250
Zr1 Zr 0.000 0.370 0.038
Mo1 Mo 0.000 0.159 0.750
C1 C 0.000 0.000 0.000
C2 C 0.000 0.261 0.618
C3 C 0.000 0.441 0.250
```